Version 1
! YHgNF2 (PBE, relaxed); values from VASP
&SYSTEM
  ibrav = 0, nat = 5, ntyp = 4
/
ATOMIC_SPECIES
Y 88.91 Y.upf
Hg 200.59 Hg.upf
N 14.01 N.upf
F 19.00 F.upf
ATOMIC_POSITIONS angstrom
Y 0.000 0.000 0.000
Hg 2.218 2.218 2.163
N 2.218 2.218 0.000
F 0.000 2.218 2.163
F 2.218 0.000 2.163
CELL_PARAMETERS angstrom
4.436 0.000 0.000
0.000 4.436 0.000
0.000 0.000 4.326
! D(E_F) (states/eV/cell): 0.76
! SG: P4/mmm (123)

Version 2
! YHgNF2 (PBE, relaxed); values from VASP
&SYSTEM
  ibrav = 0, nat = 5, ntyp = 4
/
ATOMIC_SPECIES
Y 88.91 Y.upf
Hg 200.59 Hg.upf
N 14.01 N.upf
F 19.00 F.upf
ATOMIC_POSITIONS angstrom
Y 0.000 0.000 0.000
Hg 2.161 2.161 2.401
N 0.000 0.000 2.401
F 0.000 2.161 0.000
F 2.161 0.000 0.000
CELL_PARAMETERS angstrom
4.323 0.000 0.000
0.000 4.323 0.000
0.000 0.000 4.802
! D(E_F) (states/eV/cell): 1.25
! SG: P4/mmm (123)

Name the most stable of them. version 2.

Version 1
! NaHg2F5 (PBE, relaxed); values from VASP
&SYSTEM
  ibrav = 0, nat = 16, ntyp = 3
/
ATOMIC_SPECIES
Na 22.99 Na.upf
Hg 200.59 Hg.upf
F 19.00 F.upf
ATOMIC_POSITIONS angstrom
Na 1.291 3.360 5.509
Na 3.799 -3.360 1.836
Hg 2.527 2.236 0.000
Hg 0.018 -2.236 3.672
Hg 5.053 0.000 0.000
Hg 2.545 0.000 3.672
F -2.382 0.208 6.626
F -0.077 2.028 6.624
F 0.127 -0.208 2.953
F 2.660 2.028 4.394
F 3.799 1.120 1.836
F 1.291 -1.120 5.509
F 2.431 -2.028 2.951
F 4.964 0.208 4.392
F 5.168 -2.028 0.721
F 7.472 -0.208 0.719
CELL_PARAMETERS angstrom
5.053 -4.472 0.000
5.053 4.472 0.000
-5.017 0.000 7.345
! D(E_F) (states/eV/cell): 0.00
! SG: C2/c (15)

Version 2
! NaHg2F5 (PBE, relaxed); values from VASP
&SYSTEM
  ibrav = 0, nat = 16, ntyp = 3
/
ATOMIC_SPECIES
Na 22.99 Na.upf
Hg 200.59 Hg.upf
F 19.00 F.upf
ATOMIC_POSITIONS angstrom
Na 2.218 3.696 8.538
Na 2.218 -3.696 2.846
Hg 2.218 4.327 0.774
Hg 2.218 4.327 4.917
Hg 2.218 -4.327 6.466
Hg 2.218 -4.327 10.609
F 2.218 5.340 6.982
F 2.218 5.340 10.093
F 2.218 3.267 2.846
F 2.218 2.423 6.522
F 2.218 2.423 10.554
F 2.218 -2.423 0.830
F 2.218 -2.423 4.862
F 2.218 -3.267 8.538
F 2.218 -5.340 1.290
F 2.218 -5.340 4.402
CELL_PARAMETERS angstrom
2.218 -5.947 0.000
2.218 5.947 0.000
0.000 0.000 11.384
! SG: Cmcm (63)

Name the most stable of them. version 2.

Version 1
! Na2HgF (PBE, relaxed); values from VASP
&SYSTEM
  ibrav = 0, nat = 4, ntyp = 3
/
ATOMIC_SPECIES
Na 22.99 Na.upf
Hg 200.59 Hg.upf
F 19.00 F.upf
ATOMIC_POSITIONS angstrom
Na 0.000 0.000 5.315
Na 0.000 0.000 18.439
Hg 0.000 0.000 0.000
F 0.000 0.000 11.877
CELL_PARAMETERS angstrom
1.707 0.986 7.918
-1.707 0.986 7.918
0.000 -1.971 7.918
! D(E_F) (states/eV/cell): 1.17
! SG: R-3m (166)

Version 2
! Na2HgF (PBE, relaxed); values from VASP
&SYSTEM
  ibrav = 0, nat = 4, ntyp = 3
/
ATOMIC_SPECIES
Na 22.99 Na.upf
Hg 200.59 Hg.upf
F 19.00 F.upf
ATOMIC_POSITIONS angstrom
Na 0.000 0.000 1.406
Na 0.000 0.000 6.423
Hg 1.549 1.549 3.915
F 1.549 1.549 0.000
CELL_PARAMETERS angstrom
3.098 0.000 0.000
0.000 3.098 0.000
0.000 0.000 7.829
! D(E_F) (states/eV/cell): 0.71
! SG: P4/mmm (123)

Name the most stable of them. version 1.

Version 1
! Na2HgF (PBE, relaxed); values from VASP
&SYSTEM
  ibrav = 0, nat = 4, ntyp = 3
/
ATOMIC_SPECIES
Na 22.99 Na.upf
Hg 200.59 Hg.upf
F 19.00 F.upf
ATOMIC_POSITIONS angstrom
Na 0.000 0.000 0.000
Na 0.000 0.000 5.213
Hg 0.000 0.000 10.529
F 0.000 0.000 14.515
CELL_PARAMETERS angstrom
1.706 0.985 7.937
-1.706 0.985 7.937
0.000 -1.970 7.937
! D(E_F) (states/eV/cell): 1.10
! SG: R3m (160)

Version 2
! Na2HgF (PBE, relaxed); values from VASP
&SYSTEM
  ibrav = 0, nat = 4, ntyp = 3
/
ATOMIC_SPECIES
Na 22.99 Na.upf
Hg 200.59 Hg.upf
F 19.00 F.upf
ATOMIC_POSITIONS angstrom
Na 1.773 1.773 1.773
Na 5.320 5.320 5.320
Hg 0.000 0.000 0.000
F 3.546 3.546 3.546
CELL_PARAMETERS angstrom
0.000 3.546 3.546
3.546 0.000 3.546
3.546 3.546 0.000
! D(E_F) (states/eV/cell): 3.12
! SG: Fm-3m (225)

Version 3
! Na2HgF (PBE, relaxed); values from VASP
&SYSTEM
  ibrav = 0, nat = 8, ntyp = 3
/
ATOMIC_SPECIES
Na 22.99 Na.upf
Hg 200.59 Hg.upf
F 19.00 F.upf
ATOMIC_POSITIONS angstrom
Na 1.734 0.871 -1.029
Na 2.597 -1.734 5.146
Na 1.734 2.597 3.088
Na 0.871 5.201 1.029
Hg 3.468 0.000 2.059
Hg 0.000 0.000 4.117
F 0.000 0.000 0.000
F 0.000 3.468 2.059
CELL_PARAMETERS angstrom
-3.468 3.468 4.117
3.468 -3.468 4.117
3.468 3.468 -4.117
! D(E_F) (states/eV/cell): 3.05
! SG: I-42d (122)

Name the most stable of them. version 1.

Version 1
! Na3HgF6 (PBE, relaxed); values from VASP
&SYSTEM
  ibrav = 0, nat = 20, ntyp = 3
/
ATOMIC_SPECIES
Na 22.99 Na.upf
Hg 200.59 Hg.upf
F 19.00 F.upf
ATOMIC_POSITIONS angstrom
Na 0.000 0.000 0.000
Na -2.827 2.992 4.275
Na -2.739 0.355 6.440
Na 0.088 2.638 2.165
Na 0.007 3.347 6.385
Na 2.835 5.630 2.110
Hg 0.048 0.000 4.275
Hg 2.875 2.992 0.000
F -0.792 0.500 2.146
F -3.619 2.492 6.422
F 1.147 4.115 0.689
F -1.681 4.862 4.964
F 1.861 1.187 0.639
F -0.966 1.805 4.914
F 1.062 4.180 3.636
F -1.765 4.797 7.911
F 1.776 1.123 3.586
F -1.051 1.870 7.861
F 3.714 3.492 2.129
F 0.887 5.485 6.404
CELL_PARAMETERS angstrom
5.750 0.000 0.000
0.000 5.985 0.000
-5.654 0.000 8.550
! D(E_F) (states/eV/cell): 10.37
! SG: P2_1/c (14)

Version 2
! Na3HgF6 (PBE, relaxed); values from VASP
&SYSTEM
  ibrav = 0, nat = 10, ntyp = 3
/
ATOMIC_SPECIES
Na 22.99 Na.upf
Hg 200.59 Hg.upf
F 19.00 F.upf
ATOMIC_POSITIONS angstrom
Na 0.000 0.000 0.000
Na 0.000 0.000 3.235
Na 0.000 0.000 11.042
Hg 0.000 0.000 7.840
F -0.786 -1.777 6.765
F -1.705 -0.027 9.303
F -1.146 1.569 6.765
F 0.875 -1.463 9.303
F 1.932 0.208 6.765
F 0.829 1.490 9.303
CELL_PARAMETERS angstrom
2.919 1.685 5.154
-2.919 1.685 5.154
0.000 -3.370 5.154
! D(E_F) (states/eV/cell): 6.05
! SG: R3 (146)

Name the most stable of them. version 2.

Version 1
! NaHg3F6 (PBE, relaxed); values from VASP
&SYSTEM
  ibrav = 0, nat = 20, ntyp = 3
/
ATOMIC_SPECIES
Na 22.99 Na.upf
Hg 200.59 Hg.upf
F 19.00 F.upf
ATOMIC_POSITIONS angstrom
Na 0.000 0.000 0.000
Na 0.000 0.000 5.866
Hg -3.489 -0.944 5.420
Hg -0.927 -3.494 6.312
Hg -2.562 2.550 6.312
Hg 2.562 -2.550 5.420
Hg 0.927 3.493 5.420
Hg 3.489 0.944 6.312
F -3.299 -3.171 6.342
F -4.396 1.272 5.390
F -1.228 -1.659 4.729
F 1.096 -4.443 5.390
F -2.051 0.234 7.003
F -0.823 1.893 4.729
F 0.823 -1.893 7.003
F 2.051 -0.234 4.729
F -1.096 4.443 6.342
F 1.228 1.659 7.003
F 4.396 -1.272 6.342
F 3.299 3.171 5.390
CELL_PARAMETERS angstrom
5.060 2.922 3.911
-5.060 2.922 3.911
0.000 -5.843 3.911
! D(E_F) (states/eV/cell): 4.07
! SG: R-3 (148)

Version 2
! NaHg3F6 (PBE, relaxed); values from VASP
&SYSTEM
  ibrav = 0, nat = 20, ntyp = 3
/
ATOMIC_SPECIES
Na 22.99 Na.upf
Hg 200.59 Hg.upf
F 19.00 F.upf
ATOMIC_POSITIONS angstrom
Na 0.000 0.000 0.000
Na -2.841 3.059 4.520
Hg -2.963 0.406 6.765
Hg -0.122 2.653 2.245
Hg 0.107 0.000 4.520
Hg 2.947 3.059 0.000
Hg 0.335 3.465 6.794
Hg 3.176 5.712 2.275
F -1.737 1.217 3.738
F -4.578 1.842 8.257
F -1.090 4.280 3.701
F -3.931 4.898 8.221
F 0.973 0.559 2.211
F -1.868 2.500 6.731
F 2.081 3.618 2.309
F -0.760 5.559 6.828
F 4.144 1.221 0.818
F 1.303 1.839 5.338
F 4.791 4.276 0.782
F 1.951 4.902 5.302
CELL_PARAMETERS angstrom
5.894 0.000 0.000
0.000 6.118 0.000
-5.681 0.000 9.039
! D(E_F) (states/eV/cell): 3.03
! SG: P2_1/c (14)

Name the most stable of them. version 1.